Version P
Below is a relaxed structure of NaPd3Pb2, with properties calculated at the PBE level.

Properties
- crystal system = orthorhombic
- calculated density (g/cm3) = 9.30

Lattice parameters (Å, degrees): 5.850 5.850 9.120 90.00 90.00 59.98
Sites, in units of the cell vectors:
Na: 0.001 0.999 0.750
Na: 0.999 0.001 0.250
Pd: 0.000 0.500 0.250
Pd: 0.000 0.500 0.750
Pd: 0.499 0.501 0.250
Pd: 0.500 0.000 0.250
Pd: 0.500 0.000 0.750
Pd: 0.501 0.499 0.750
Pb: 0.333 0.333 0.000
Pb: 0.333 0.333 0.500
Pb: 0.667 0.667 0.000
Pb: 0.667 0.667 0.500

***

Version Q
Below is a relaxed structure of NaPd3Pb2, with properties calculated at the PBE level.

Properties
- crystal system = orthorhombic
- calculated density (g/cm3) = 9.36

Lattice parameters (Å, degrees): 7.391 7.391 7.391 106.32 92.20 132.89
Sites, in units of the cell vectors:
Na: 0.499 0.249 0.250
Na: 0.501 0.751 0.750
Pd: 0.000 0.000 0.500
Pd: 0.000 0.250 0.250
Pd: 0.000 0.500 0.000
Pd: 0.000 0.750 0.750
Pd: 0.500 0.250 0.750
Pd: 0.500 0.750 0.250
Pb: 0.166 0.750 0.417
Pb: 0.167 0.250 0.917
Pb: 0.833 0.750 0.083
Pb: 0.834 0.250 0.583

***

It comes down to version P, which is 4.6 kJ/mol of atoms more stable than the next structure.

***

Version P
Below is a relaxed structure of Na3Pd2Pb3, with properties calculated at the PBE level.

Properties
- crystal system = hexagonal
- calculated density (g/cm3) = 7.81

Lattice parameters (Å, degrees): 8.148 8.148 3.340 90.00 90.00 120.00
Sites, in units of the cell vectors:
Na: 0.000 0.754 0.000
Na: 0.246 0.246 0.000
Na: 0.754 0.000 0.000
Pd: 0.333 0.667 0.000
Pd: 0.667 0.333 0.000
Pb: 0.000 0.400 0.500
Pb: 0.400 0.000 0.500
Pb: 0.600 0.600 0.500

***

Version Q
Below is a relaxed structure of Na3Pd2Pb3, with properties calculated at the PBE level.

Properties
- crystal system = orthorhombic
- calculated density (g/cm3) = 7.13

Lattice parameters (Å, degrees): 6.024 6.024 15.958 90.00 90.00 133.37
Sites, in units of the cell vectors:
Na: 0.067 0.933 0.613
Na: 0.067 0.933 0.887
Na: 0.354 0.646 0.750
Na: 0.646 0.354 0.250
Na: 0.933 0.067 0.113
Na: 0.933 0.067 0.387
Pd: 0.224 0.776 0.103
Pd: 0.224 0.776 0.397
Pd: 0.776 0.224 0.603
Pd: 0.776 0.224 0.897
Pb: 0.350 0.650 0.250
Pb: 0.366 0.634 0.543
Pb: 0.366 0.634 0.957
Pb: 0.634 0.366 0.043
Pb: 0.634 0.366 0.457
Pb: 0.650 0.350 0.750

***

It comes down to version Q, which is 3.2 kJ/mol of atoms more stable than the next structure.

***

Version P
Below is a relaxed structure of NaPd2Pb2, with properties calculated at the PBE level.

Properties
- crystal system = triclinic
- calculated density (g/cm3) = 9.38

Lattice parameters (Å, degrees): 4.857 4.879 5.581 89.71 89.89 60.46
Sites, in units of the cell vectors:
Na: 0.000 0.000 0.000
Pd: 0.333 0.335 0.828
Pd: 0.667 0.665 0.172
Pb: 0.333 0.331 0.326
Pb: 0.667 0.669 0.674

***

Version Q
Below is a relaxed structure of NaPd2Pb2, with properties calculated at the PBE level.

Properties
- crystal system = tetragonal
- calculated density (g/cm3) = 8.91

Lattice parameters (Å, degrees): 7.742 7.742 7.742 149.22 149.22 44.08
Sites, in units of the cell vectors:
Na: 0.000 0.000 0.000
Pd: 0.250 0.750 0.500
Pd: 0.750 0.250 0.500
Pb: 0.381 0.381 0.000
Pb: 0.619 0.619 0.000

***

Version R
Below is a relaxed structure of NaPd2Pb2, with properties calculated at the PBE level.

Properties
- crystal system = tetragonal
- calculated density (g/cm3) = 9.62

Lattice parameters (Å, degrees): 8.220 8.220 3.321 90.00 90.00 90.00
Sites, in units of the cell vectors:
Na: 0.000 0.000 0.000
Na: 0.500 0.500 0.000
Pd: 0.145 0.355 0.500
Pd: 0.355 0.855 0.500
Pd: 0.645 0.145 0.500
Pd: 0.855 0.645 0.500
Pb: 0.149 0.649 0.000
Pb: 0.351 0.149 0.000
Pb: 0.649 0.851 0.000
Pb: 0.851 0.351 0.000

***

It comes down to version P, which is 5.0 kJ/mol of atoms more stable than the next structure.

***

Version P
Below is a relaxed structure of NaPd2Pb2, with properties calculated at the PBE level.

Properties
- crystal system = tetragonal
- calculated density (g/cm3) = 9.71

Lattice parameters (Å, degrees): 7.914 7.914 3.550 90.00 90.00 90.00
Sites, in units of the cell vectors:
Na: 0.000 0.000 0.000
Na: 0.500 0.500 0.000
Pd: 0.133 0.367 0.000
Pd: 0.367 0.867 0.000
Pd: 0.633 0.133 0.000
Pd: 0.867 0.633 0.000
Pb: 0.161 0.661 0.500
Pb: 0.339 0.161 0.500
Pb: 0.661 0.839 0.500
Pb: 0.839 0.339 0.500

***

Version Q
Below is a relaxed structure of NaPd2Pb2, with properties calculated at the PBE level.

Properties
- crystal system = orthorhombic
- calculated density (g/cm3) = 9.59

Lattice parameters (Å, degrees): 6.257 4.709 7.639 90.00 90.00 90.00
Sites, in units of the cell vectors:
Na: 0.000 0.000 0.000
Na: 0.500 0.000 0.000
Pd: 0.000 0.500 0.500
Pd: 0.250 0.500 0.174
Pd: 0.500 0.500 0.500
Pd: 0.750 0.500 0.826
Pb: 0.250 0.000 0.397
Pb: 0.250 0.500 0.805
Pb: 0.750 0.000 0.603
Pb: 0.750 0.500 0.195

***

It comes down to version P, which is 6.6 kJ/mol of atoms more stable than the next structure.